Entry 1:
Material: Na2ZnSb2
Method: DFT, PBEsol
State: relaxed

Unit cell a=7.195 b=7.195 c=5.049 alpha=90.00 beta=90.00 gamma=90.00
Space group P4/mbm (No. 127)
Inequivalent atoms, fractional coordinates:
1 Na 0.165 0.335 0.000 x4
2 Zn 0.000 0.000 0.500 x2
3 Sb 0.145 0.645 0.500 x4

=====

Entry 2:
Material: NaZn3Sb
Method: DFT, PBEsol
State: relaxed

Unit cell a=5.291 b=5.291 c=5.291 alpha=90.00 beta=90.00 gamma=90.00
Space group Pm-3m (No. 221)
Inequivalent atoms, fractional coordinates:
1 Na 0.000 0.000 0.000 x1
2 Zn 0.000 0.500 0.500 x3
3 Sb 0.500 0.500 0.500 x1

=====

| no. | total energy (eV/atom) |
| --- | --- |
| 1 | -2.92 |
| 2 | -1.68 |